No. 1
VASP calculation (PBE-GGA) on crystalline PmBeTl at its relaxed geometry.

Unit cell a=4.6226 b=4.6226 c=4.6226 alpha=60.00 beta=60.00 gamma=60.00
With the nearest neighbours (Å) after each atom.
Atoms (fractional coordinates):
Pm: 0.0000 0.0000 0.0000  4 Be 2.83
Be: 0.7500 0.7500 0.7500  4 Tl 2.83, 4 Pm 2.83
Tl: 0.5000 0.5000 0.5000  4 Be 2.83

E_form	-80	meV per atom
density	8.52	Mg/m³



No. 2
VASP calculation (PBE-GGA) on crystalline CaScAs2Ru at its relaxed geometry.

Unit cell a=5.0032 b=5.0032 c=4.6857 alpha=90.00 beta=90.00 gamma=90.00
With the nearest neighbours (Å) after each atom.
Atoms (fractional coordinates):
Ca: 0.0000 0.0000 0.0000  8 As 3.43, 4 Sc 3.54
Sc: 0.5000 0.5000 0.0000  2 Ru 2.34
As: 0.0000 0.5000 0.5000  2 Ru 2.50
As: 0.5000 0.0000 0.5000  2 Ru 2.50
Ru: 0.5000 0.5000 0.5000  2 Sc 2.34, 4 As 2.50

E_form	-167	meV per atom
density	4.76	Mg/m³



No. 3
VASP calculation (PBE-GGA) on crystalline Mn2TeAs2 at its relaxed geometry.

Unit cell a=6.8286 b=6.8286 c=6.8286 alpha=146.94 beta=146.94 gamma=47.45
With the nearest neighbours (Å) after each atom.
Atoms (fractional coordinates):
Mn: 0.1091 0.1091 0.0000  4 As 2.62, 1 Mn 2.73
Mn: 0.8909 0.8909 0.0000  4 As 2.62, 1 Mn 2.73
Te: 0.5000 0.5000 0.0000  8 Mn 3.07
As: 0.2500 0.7500 0.5000  4 Mn 2.62, 4 As 2.75
As: 0.7500 0.2500 0.5000  4 Mn 2.62, 4 As 2.75

E	-30.45	eV/cell
density	6.82	Mg/m³